# 1
A plane-wave DFT calculation with PBE was carried out for a relaxed Sc2Ni6H crystal.

a b c (Å): 7.458 7.458 7.458
angles (deg): 90.00 90.00 90.00
Space group Fm-3m (No. 225)
One atom of each set of equivalent atoms:
Sc 0.250 0.250 0.250 (multiplicity 8)
Ni 0.000 0.000 0.247 (multiplicity 24)
H 0.000 0.000 0.500 (multiplicity 4)

Computed properties:
Fermi-level density of states, states/eV per atom: 1.03
Crystal system: cubic
DFT total energy, eV per atom: -6.038

# 2
A plane-wave DFT calculation with PBE was carried out for a relaxed Hf3Ti2In crystal.

a b c (Å): 4.345 13.354 4.234
angles (deg): 90.00 90.00 90.00
Space group Cmmm (No. 65)
One atom of each set of equivalent atoms:
Hf 0.000 0.000 0.000 (multiplicity 2)
Hf 0.000 0.331 0.000 (multiplicity 4)
Ti 0.000 0.174 0.500 (multiplicity 4)
In 0.000 0.500 0.500 (multiplicity 2)

Computed properties:
E above lowest polymorph, eV per atom: 0.000
Fermi-level density of states, states/eV per atom: 1.13
Crystal system: orthorhombic
DFT total energy, eV per atom: -8.121

# 3
A plane-wave DFT calculation with PBE was carried out for a relaxed CeDyHo2Hg4 crystal.

a b c (Å): 5.2867 5.2867 26.0426
angles (deg): 90.00 90.00 120.00
Space group R-3m (No. 166, hexagonal axes)
One atom of each set of equivalent atoms:
Ce 0.0000 0.0000 0.0000 (multiplicity 3)
Dy 0.0000 0.0000 0.5000 (multiplicity 3)
Ho 0.0000 0.0000 0.2503 (multiplicity 6)
Hg 0.0000 0.0000 0.1271 (multiplicity 6)
Hg 0.0000 0.0000 0.3778 (multiplicity 6)

Computed properties:
Fermi-level density of states, states/eV per atom: 1.85
Crystal system: trigonal
DFT total energy, eV per atom: -3.034

# 4
A plane-wave DFT calculation with PBE was carried out for a relaxed K2LaSiB crystal.

a b c (Å): 6.785 6.785 3.719
angles (deg): 90.00 90.00 90.00
Space group P4/mmm (No. 123)
One atom of each set of equivalent atoms:
K 0.000 0.500 0.000 (multiplicity 2)
La 0.000 0.000 0.500 (multiplicity 1)
Si 0.500 0.500 0.500 (multiplicity 1)
B 0.500 0.500 0.000 (multiplicity 1)

Computed properties:
Raw formation energy, eV per atom: 0.774
Fermi-level density of states, states/eV per atom: 0.89
Crystal system: tetragonal
DFT total energy, eV per atom: -3.070

# 5
A plane-wave DFT calculation with PBE was carried out for a relaxed Sm3Ho12Cd crystal.

a b c (Å): 4.961 4.961 20.026
angles (deg): 90.00 90.00 90.00
Space group P4/mmm (No. 123)
One atom of each set of equivalent atoms:
Sm 0.000 0.000 0.000 (multiplicity 1)
Sm 0.000 0.000 0.252 (multiplicity 2)
Ho 0.000 0.500 0.127 (multiplicity 4)
Ho 0.000 0.500 0.380 (multiplicity 4)
Ho 0.500 0.500 0.000 (multiplicity 1)
Ho 0.500 0.500 0.256 (multiplicity 2)
Ho 0.500 0.500 0.500 (multiplicity 1)
Cd 0.000 0.000 0.500 (multiplicity 1)

Computed properties:
Fermi-level density of states, states/eV per atom: 1.20
Crystal system: tetragonal
DFT total energy, eV per atom: -4.377

# 6
A plane-wave DFT calculation with PBE was carried out for a relaxed PmDyHoCd crystal.

a b c (Å): 7.748 7.748 7.748
angles (deg): 90.00 90.00 90.00
Space group F-43m (No. 216)
One atom of each set of equivalent atoms:
Pm 0.000 0.000 0.000 (multiplicity 4)
Dy 0.000 0.000 0.500 (multiplicity 4)
Ho 0.250 0.250 0.250 (multiplicity 4)
Cd 0.250 0.250 0.750 (multiplicity 4)

Computed properties:
E above lowest polymorph, eV per atom: 0.122
Fermi-level density of states, states/eV per atom: 1.35
Crystal system: cubic
DFT total energy, eV per atom: -3.739

# 7
A plane-wave DFT calculation with PBE was carried out for a relaxed InOs2I crystal.

a b c (Å): 6.616 6.616 6.616
angles (deg): 90.00 90.00 90.00
Space group Fm-3m (No. 225)
One atom of each set of equivalent atoms:
In 0.000 0.000 0.000 (multiplicity 4)
Os 0.250 0.250 0.250 (multiplicity 8)
I 0.000 0.000 0.500 (multiplicity 4)

Computed properties:
Raw formation energy, eV per atom: 1.284
E above lowest polymorph, eV per atom: 0.000
Fermi-level density of states, states/eV per atom: 0.87
Crystal system: cubic
DFT total energy, eV per atom: -5.403

# 8
A plane-wave DFT calculation with PBE was carried out for a relaxed CeNd3Co8 crystal.

a b c (Å): 5.1198 5.1198 25.0830
angles (deg): 90.00 90.00 120.00
Space group R3m (No. 160, hexagonal axes)
One atom of each set of equivalent atoms:
Ce 0.0000 0.0000 0.0000 (multiplicity 3)
Nd 0.0000 0.0000 0.3741 (multiplicity 3)
Nd 0.0000 0.0000 0.4996 (multiplicity 3)
Nd 0.0000 0.0000 0.8751 (multiplicity 3)
Co 0.0000 0.0000 0.1868 (multiplicity 3)
Co 0.0000 0.0000 0.6866 (multiplicity 3)
Co 0.0004 0.5002 0.9380 (multiplicity 9)
Co 0.1676 0.3353 0.7695 (multiplicity 9)

Computed properties:
Fermi-level density of states, states/eV per atom: 1.38
Crystal system: trigonal
DFT total energy, eV per atom: -6.491

# 9
A plane-wave DFT calculation with PBE was carried out for a relaxed KCaCr crystal.

a b c (Å): 3.951 3.951 15.170
angles (deg): 90.00 90.00 90.00
Space group I4mm (No. 107)
One atom of each set of equivalent atoms:
K 0.000 0.000 0.000 (multiplicity 2)
Ca 0.000 0.000 0.275 (multiplicity 2)
Cr 0.000 0.000 0.665 (multiplicity 2)

Computed properties:
E above lowest polymorph, eV per atom: 0.000
Fermi-level density of states, states/eV per atom: 0.80
Crystal system: tetragonal
DFT total energy, eV per atom: -3.530